Arrangement one

Tb3Pm2Y5: optimized geometry, GGA-PBE.

CIF file:
```
data_Tb3Pm2Y5
_cell_length_a 10.7281
_cell_length_b 16.2214
_cell_length_c 9.3487
_cell_angle_alpha 90.00
_cell_angle_beta 125.01
_cell_angle_gamma 90.00
_space_group_name_H-M_alt 'C 1 2/c 1'
_space_group_IT_number 15
loop_
_space_group_symop_operation_xyz
'x,y,z'
'-x,-y,-z'
'-x,y,-z+1/2'
'x,-y,z+1/2'
'x+1/2,y+1/2,z'
'-x+1/2,-y+1/2,-z'
'-x+1/2,y+1/2,-z+1/2'
'x+1/2,-y+1/2,z+1/2'
loop_
_atom_site_label
_atom_site_type_symbol
_atom_site_fract_x
_atom_site_fract_y
_atom_site_fract_z
Tb1 Tb 0.0000 0.0246 0.2500
Tb2 Tb 0.1525 0.3769 0.5493
Pm1 Pm 0.1444 0.1247 0.0445
Y1 Y 0.0000 0.2280 0.2500
Y2 Y 0.0000 0.2744 0.7500
Y3 Y 0.0000 0.4741 0.7500
Y4 Y 0.2432 0.3781 0.2398
```

Values from the calculation:
crystal system = monoclinic


Arrangement two

Tb3Pm2Y5: optimized geometry, GGA-PBE.

CIF file:
```
data_Tb3Pm2Y5
_cell_length_a 9.3423
_cell_length_b 21.9580
_cell_length_c 6.8426
_cell_angle_alpha 90.00
_cell_angle_beta 90.00
_cell_angle_gamma 90.00
_space_group_name_H-M_alt 'I b a m'
_space_group_IT_number 72
_space_group_name_Hall '-I 2 2c'
loop_
_atom_site_label
_atom_site_type_symbol
_atom_site_fract_x
_atom_site_fract_y
_atom_site_fract_z
Tb1 Tb 0.0000 0.0000 0.2500
Tb2 Tb 0.2503 0.1243 0.0000
Pm1 Pm 0.0996 0.1206 0.5000
Y1 Y 0.0000 0.2470 0.2500
Y2 Y 0.0000 0.5000 0.2500
Y3 Y 0.0902 0.3718 0.0000
```

Values from the calculation:
crystal system = orthorhombic


Which of them is least stable? Easy: arrangement two.


Arrangement one

Tb5PmY3: optimized geometry, GGA-PBE.

CIF file:
```
data_Tb5PmY3
_cell_length_a 18.3552
_cell_length_b 6.3435
_cell_length_c 11.3645
_cell_angle_alpha 90.00
_cell_angle_beta 112.12
_cell_angle_gamma 90.00
_space_group_name_H-M_alt 'C 1 2/c 1'
_space_group_IT_number 15
loop_
_space_group_symop_operation_xyz
'x,y,z'
'-x,-y,-z'
'-x,y,-z+1/2'
'x,-y,z+1/2'
'x+1/2,y+1/2,z'
'-x+1/2,-y+1/2,-z'
'-x+1/2,y+1/2,-z+1/2'
'x+1/2,-y+1/2,z+1/2'
loop_
_atom_site_label
_atom_site_type_symbol
_atom_site_fract_x
_atom_site_fract_y
_atom_site_fract_z
Tb1 Tb 0.0000 0.1018 0.2500
Tb2 Tb 0.1698 0.2128 0.7104
Tb3 Tb 0.1699 0.3192 0.3712
Pm1 Pm 0.0000 0.3695 0.7500
Y1 Y 0.0000 0.5000 0.0000
Y2 Y 0.1605 0.1927 0.0146
```

Values from the calculation:
crystal system = monoclinic


Arrangement two

Tb5PmY3: optimized geometry, GGA-PBE.

CIF file:
```
data_Tb5PmY3
_cell_length_a 16.8282
_cell_length_b 8.0221
_cell_length_c 12.3310
_cell_angle_alpha 90.00
_cell_angle_beta 130.72
_cell_angle_gamma 90.00
_space_group_name_H-M_alt 'C 1 2/m 1'
_space_group_IT_number 12
loop_
_space_group_symop_operation_xyz
'x,y,z'
'-x,-y,-z'
'-x,y,-z'
'x,-y,z'
'x+1/2,y+1/2,z'
'-x+1/2,-y+1/2,-z'
'-x+1/2,y+1/2,-z'
'x+1/2,-y+1/2,z'
loop_
_atom_site_label
_atom_site_type_symbol
_atom_site_fract_x
_atom_site_fract_y
_atom_site_fract_z
Tb1 Tb 0.0000 0.1805 0.0000
Tb2 Tb 0.0644 0.2951 0.7794
Tb3 Tb 0.1247 0.5000 0.5669
Tb4 Tb 0.1997 0.0000 0.0704
Pm1 Pm 0.2359 0.5000 0.1268
Y1 Y 0.0000 0.0000 0.5000
Y2 Y 0.0000 0.5000 0.0000
Y3 Y 0.1181 0.0000 0.3130
Y4 Y 0.1778 0.5000 0.3423
```

Values from the calculation:
crystal system = monoclinic


Which of them is least stable? Easy: arrangement two.